Record 1
A geometry-optimized Mg2CdSi2Ir5 structure, computed with PBE.

Unit cell a=3.4207 b=9.6216 c=9.6216 alpha=90.00 beta=90.00 gamma=90.00
Last column: nearest neighbours and their distance in Å.
Fractional coordinates of all 20 atoms:
Si  0.0000  0.6279  0.8721  6 Ir 2.36-2.44
Mg  0.0000  0.6726  0.1726  3 Si 2.71-2.92, 6 Ir 2.91-3.02
Ir  0.5000  0.0000  0.5000  4 Si 2.44
Ir  0.5000  0.7128  0.4284  2 Si 2.36
Mg  0.0000  0.3274  0.8274  3 Si 2.71-2.92, 6 Ir 2.91-3.02
Cd  0.0000  0.5000  0.5000  8 Ir 2.76
Ir  0.5000  0.7872  0.9284  2 Si 2.36
Ir  0.5000  0.5716  0.7128  2 Si 2.36
Mg  0.0000  0.1726  0.3274  3 Si 2.71-2.92, 6 Ir 2.91-3.02
Ir  0.5000  0.2128  0.0716  2 Si 2.36
Ir  0.5000  0.0716  0.7872  2 Si 2.36
Cd  0.0000  0.0000  0.0000  8 Ir 2.76
Si  0.0000  0.3721  0.1279  6 Ir 2.36-2.44
Si  0.0000  0.8721  0.3721  6 Ir 2.36-2.44
Ir  0.5000  0.9284  0.2128  2 Si 2.36
Ir  0.5000  0.2872  0.5716  2 Si 2.36
Ir  0.5000  0.4284  0.2872  2 Si 2.36
Mg  0.0000  0.8274  0.6726  3 Si 2.71-2.92, 6 Ir 2.91-3.02
Si  0.0000  0.1279  0.6279  6 Ir 2.36-2.44
Ir  0.5000  0.5000  0.0000  4 Si 2.44

Values from the calculation:
V	15.8	Å³/atom
formation energy from raw total energies	-0.41	eV per atom



Record 2
A geometry-optimized Sr2MgCdIr structure, computed with PBE.

Unit cell a=5.8032 b=5.8032 c=5.0625 alpha=90.00 beta=90.00 gamma=90.00
Last column: nearest neighbours and their distance in Å.
Fractional coordinates of all 5 atoms:
Cd  0.5000  0.5000  0.5000  8 Sr 3.85, 4 Mg 4.10
Ir  0.0000  0.0000  0.0000  2 Mg 2.53
Sr  0.0000  0.5000  0.0000  2 Ir 2.90
Mg  0.0000  0.0000  0.5000  2 Ir 2.53
Sr  0.5000  0.0000  0.0000  2 Ir 2.90

Values from the calculation:
energy of formation	-0.117	eV per atom
V	34.1	Å³/atom



Record 3
A geometry-optimized TbMgCdIr structure, computed with PBE.

Unit cell a=4.8670 b=4.8670 c=4.8670 alpha=60.00 beta=60.00 gamma=60.00
Last column: nearest neighbours and their distance in Å.
Fractional coordinates of all 4 atoms:
Ir  0.2500  0.2500  0.2500  4 Tb 2.98, 4 Mg 2.98
Mg  0.0000  0.0000  0.0000  4 Cd 2.98, 4 Ir 2.98
Tb  0.5000  0.5000  0.5000  4 Cd 2.98, 4 Ir 2.98
Cd  0.7500  0.7500  0.7500  4 Mg 2.98, 4 Tb 2.98

Values from the calculation:
energy of formation	-0.362	eV per atom
V	20.4	Å³/atom



Record 4
A geometry-optimized MgCdTe2Ir structure, computed with PBE.

Unit cell a=5.4784 b=5.0289 c=5.4784 alpha=90.00 beta=90.00 gamma=90.00
Last column: nearest neighbours and their distance in Å.
Fractional coordinates of all 5 atoms:
Mg  0.5000  0.5000  0.5000  8 Te 3.72, 4 Ir 3.87
Cd  0.0000  0.0000  0.0000  2 Ir 2.51, 4 Te 2.74
Ir  0.0000  0.5000  0.0000  2 Cd 2.51
Te  0.0000  0.0000  0.5000  2 Cd 2.74
Te  0.5000  0.0000  0.0000  2 Cd 2.74

Values from the calculation:
V	30.2	Å³/atom
formation energy from raw total energies	0.97	eV per atom